Entry 1:
DFT (PBE) results for crystalline Ac2BiF at its relaxed geometry.

Summary:
DFT total energy ... -19.2 eV for the cell shown
Relative energy among the computed polymorphs ... 252 meV per atom
Spin magnetization ... 0.000 μB/atom
Mass density ... 9.15 g/cm³
Raw formation energy ... -1308 meV/atom
Crystal system ... cubic
Symmetry ... Fm-3m (225)

abc: 5.593 5.593 5.593
angles: 60.00 60.00 60.00
Atoms (fractional coordinates):
Ac: 0.250 0.250 0.250
Ac: 0.750 0.750 0.750
Bi: 0.000 0.000 0.000
F: 0.500 0.500 0.500

Entry 2:
DFT (PBE) results for crystalline Ac2BiF at its relaxed geometry.

Summary:
DFT total energy ... -20.2 eV for the cell shown
Relative energy among the computed polymorphs ... 0 meV per atom
Spin magnetization ... 0.000 μB/atom
Mass density ... 9.00 g/cm³
Raw formation energy ... -1560 meV/atom
Crystal system ... trigonal
Symmetry ... R-3m (166)

abc: 7.776 7.776 7.776
angles: 33.26 33.26 33.26
Atoms (fractional coordinates):
Ac: 0.236 0.236 0.236
Ac: 0.764 0.764 0.764
Bi: 0.000 0.000 0.000
F: 0.500 0.500 0.500

Entry 3:
DFT (PBE) results for crystalline AcBiF2 at its relaxed geometry.

Summary:
DFT total energy ... -19.9 eV for the cell shown
Spin magnetization ... 0.000 μB/atom
Mass density ... 8.30 g/cm³
Raw formation energy ... -2051 meV/atom
Crystal system ... trigonal
Symmetry ... R-3m (166)

abc: 5.030 5.030 5.030
angles: 62.43 62.43 62.43
Atoms (fractional coordinates):
Ac: 0.000 0.000 0.000
Bi: 0.500 0.500 0.500
F: 0.198 0.198 0.198
F: 0.802 0.802 0.802

Entry 4:
DFT (PBE) results for crystalline Ac2BiF11 at its relaxed geometry.

Summary:
DFT total energy ... -152.6 eV for the cell shown
Spin magnetization ... 0.000 μB/atom
Mass density ... 5.30 g/cm³
Raw formation energy ... -3117 meV/atom
Crystal system ... orthorhombic
Symmetry ... Ibam (72)

abc: 9.024 9.024 9.024
angles: 121.48 104.88 102.77
Atoms (fractional coordinates):
Ac: 0.183 0.145 0.328
Ac: 0.317 0.645 0.962
Ac: 0.683 0.355 0.038
Ac: 0.817 0.855 0.672
Bi: 0.250 0.750 0.500
Bi: 0.750 0.250 0.500
F: 0.000 0.000 0.000
F: 0.003 0.432 0.740
F: 0.083 0.832 0.626
F: 0.192 0.932 0.430
F: 0.206 0.457 0.374
F: 0.216 0.877 0.093
F: 0.284 0.377 0.661
F: 0.294 0.668 0.251
F: 0.308 0.738 0.740
F: 0.417 0.043 0.749
F: 0.497 0.238 0.430
F: 0.500 0.500 0.000
F: 0.503 0.762 0.570
F: 0.583 0.957 0.251
F: 0.692 0.262 0.260
F: 0.706 0.332 0.749
F: 0.716 0.623 0.339
F: 0.784 0.123 0.907
F: 0.794 0.543 0.626
F: 0.808 0.068 0.570
F: 0.917 0.168 0.374
F: 0.997 0.568 0.260

Entry 5:
DFT (PBE) results for crystalline Ac2BiF at its relaxed geometry.

Summary:
DFT total energy ... -18.9 eV for the cell shown
Relative energy among the computed polymorphs ... 318 meV per atom
Spin magnetization ... 0.134 μB/atom
Mass density ... 8.92 g/cm³
Raw formation energy ... -1242 meV/atom
Crystal system ... tetragonal
Symmetry ... P4/mmm (123)

abc: 5.463 5.463 4.252
angles: 90.00 90.00 90.00
Atoms (fractional coordinates):
Ac: 0.000 0.500 0.000
Ac: 0.500 0.000 0.000
Bi: 0.000 0.000 0.500
F: 0.500 0.500 0.500

Entry 6:
DFT (PBE) results for crystalline Ac2BiNF at its relaxed geometry.

Summary:
DFT total energy ... -31.6 eV for the cell shown
Spin magnetization ... 0.000 μB/atom
Mass density ... 8.68 g/cm³
Raw formation energy ... -1864 meV/atom
Crystal system ... tetragonal
Symmetry ... I-4m2 (119)

abc: 8.010 8.010 8.010
angles: 149.35 149.35 43.90
Atoms (fractional coordinates):
Ac: 0.159 0.159 0.000
Ac: 0.841 0.841 0.000
Bi: 0.500 0.500 0.000
N: 0.750 0.250 0.500
F: 0.250 0.750 0.500

Entry 7:
DFT (PBE) results for crystalline Na2AcBiF8 at its relaxed geometry.

Summary:
DFT total energy ... -63.4 eV for the cell shown
Spin magnetization ... 0.000 μB/atom
Mass density ... 5.59 g/cm³
Raw formation energy ... -3151 meV/atom
Crystal system ... monoclinic
Symmetry ... P2/m (10)

abc: 4.078 8.118 5.691
angles: 90.00 90.15 90.00
Atoms (fractional coordinates):
Na: 0.000 0.236 0.000
Na: 0.000 0.764 0.000
Ac: 0.500 0.500 0.500
Bi: 0.500 0.000 0.500
F: 0.001 0.000 0.731
F: 0.001 0.500 0.749
F: 0.499 0.239 0.259
F: 0.499 0.761 0.259
F: 0.501 0.239 0.741
F: 0.501 0.761 0.741
F: 0.999 0.000 0.269
F: 0.999 0.500 0.251

Entry 8:
DFT (PBE) results for crystalline Ac2BiOF at its relaxed geometry.

Summary:
DFT total energy ... -32.1 eV for the cell shown
Spin magnetization ... 0.000 μB/atom
Mass density ... 9.20 g/cm³
Raw formation energy ... -2642 meV/atom
Crystal system ... tetragonal
Symmetry ... I-4m2 (119)

abc: 7.492 7.492 7.492
angles: 146.75 146.75 47.74
Atoms (fractional coordinates):
Ac: 0.147 0.147 0.000
Ac: 0.853 0.853 0.000
Bi: 0.500 0.500 0.000
O: 0.750 0.250 0.500
F: 0.250 0.750 0.500

Entry 9:
DFT (PBE) results for crystalline AcBi2O4F at its relaxed geometry.

Summary:
DFT total energy ... -50.2 eV for the cell shown
Spin magnetization ... 0.000 μB/atom
Mass density ... 8.47 g/cm³
Raw formation energy ... -2078 meV/atom
Crystal system ... tetragonal
Symmetry ... P4/mmm (123)

abc: 3.983 3.983 8.991
angles: 90.00 90.00 90.00
Atoms (fractional coordinates):
Ac: 0.000 0.000 0.000
Bi: 0.500 0.500 0.301
Bi: 0.500 0.500 0.699
O: 0.000 0.500 0.180
O: 0.000 0.500 0.820
O: 0.500 0.000 0.180
O: 0.500 0.000 0.820
F: 0.000 0.000 0.500

Entry 10:
DFT (PBE) results for crystalline AcBiSbF at its relaxed geometry.

Summary:
DFT total energy ... -40.8 eV for the cell shown
Spin magnetization ... 0.000 μB/atom
Mass density ... 8.66 g/cm³
Raw formation energy ... -1599 meV/atom
Crystal system ... tetragonal
Symmetry ... P4/nmm (129)

abc: 4.523 4.523 10.805
angles: 90.00 90.00 90.00
Atoms (fractional coordinates):
Ac: 0.250 0.250 0.142
Ac: 0.750 0.750 0.858
Bi: 0.250 0.750 0.500
Bi: 0.750 0.250 0.500
Sb: 0.250 0.250 0.746
Sb: 0.750 0.750 0.254
F: 0.250 0.750 0.000
F: 0.750 0.250 0.000

Entry 11:
DFT (PBE) results for crystalline Ac2FeBi at its relaxed geometry.

Summary:
DFT total energy ... -20.8 eV for the cell shown
Relative energy among the computed polymorphs ... 0 meV per atom
Spin magnetization ... 0.477 μB/atom
Mass density ... 9.23 g/cm³
Crystal system ... tetragonal
Formation enthalpy at 0 K ... -0.064 eV per atom
Symmetry ... P4/mmm (123)

abc: 5.516 5.516 4.251
angles: 90.00 90.00 90.00
Atoms (fractional coordinates):
Ac: 0.000 0.500 0.000
Ac: 0.500 0.000 0.000
Fe: 0.000 0.000 0.500
Bi: 0.500 0.500 0.500

Entry 12:
DFT (PBE) results for crystalline AcFeBi3 at its relaxed geometry.

Summary:
DFT total energy ... -24.5 eV for the cell shown
Spin magnetization ... 0.564 μB/atom
Mass density ... 9.86 g/cm³
Crystal system ... cubic
Formation enthalpy at 0 K ... -0.051 eV per atom
Symmetry ... Pm-3m (221)

abc: 5.350 5.350 5.350
angles: 90.00 90.00 90.00
Atoms (fractional coordinates):
Ac: 0.000 0.000 0.000
Fe: 0.500 0.500 0.500
Bi: 0.000 0.500 0.500
Bi: 0.500 0.000 0.500
Bi: 0.500 0.500 0.000